Record 1
DFT (PBE-GGA) results for a relaxed structure of Co2Ir2Rh.

Its calculated formation energy is 209 meV per atom. Its excess energy over the best structure of this formula in the dataset is 190 meV/atom. Its symmetry is P4/mbm, No. 127. As for the mass density: 15.0 Mg/m³.

Geometry as extended XYZ:
```
10
Lattice="7.055 0.000 0.000 0.000 7.055 0.000 0.000 0.000 2.699" Properties=species:S:1:pos:R:3 pbc="T T T"
Co 2.675 6.203 0.000
Co 6.203 4.381 0.000
Co 0.853 2.675 0.000
Co 4.381 0.853 0.000
Ir 1.234 4.762 1.350
Ir 2.294 1.234 1.350
Ir 4.762 5.821 1.350
Ir 5.821 2.294 1.350
Rh 0.000 0.000 0.000
Rh 3.528 3.528 0.000
```

Record 2
DFT (PBE-GGA) results for a relaxed structure of Co2IrRh.

Its calculated formation energy is 81 meV per atom. Its excess energy over the best structure of this formula in the dataset is 36 meV/atom. Its symmetry is R-3m, No. 166. As for the mass density: 13.2 Mg/m³.

Geometry as extended XYZ:
```
4
Lattice="-1.347 7.080 -4.568 -3.618 5.785 -5.124 -3.429 7.256 -2.901" Properties=species:S:1:pos:R:3 pbc="T T T"
Co -0.002 0.004 -0.002
Co -4.195 10.057 -6.294
Rh -6.295 15.091 -9.445
Ir -2.098 5.030 -3.148
```

What did the second record say?
DFT (PBE-GGA) results for a relaxed structure of Co2IrRh.

Its calculated formation energy is 81 meV per atom. Its excess energy over the best structure of this formula in the dataset is 36 meV/atom. Its symmetry is R-3m, No. 166. As for the mass density: 13.2 Mg/m³.

Geometry as extended XYZ:
```
4
Lattice="-1.347 7.080 -4.568 -3.618 5.785 -5.124 -3.429 7.256 -2.901" Properties=species:S:1:pos:R:3 pbc="T T T"
Co -0.002 0.004 -0.002
Co -4.195 10.057 -6.294
Rh -6.295 15.091 -9.445
Ir -2.098 5.030 -3.148
```

Q: Which formula does entry 2 have?
A: Co2IrRh